Record 1
# LaBiS2Cl PBE optimized geometry
# Energy above the lowest structure with this stoichiometry = 0.000 eV per atom
data_LaBiS2Cl
_chemical_formula_sum 'La1 Bi1 S2 Cl1'
_cell_length_a 5.5781
_cell_length_b 5.5781
_cell_length_c 5.3353
_cell_angle_alpha 90.00
_cell_angle_beta 90.00
_cell_angle_gamma 90.00
_symmetry_space_group_name_H-M 'P 1'
_symmetry_Int_Tables_number 1
loop_
_symmetry_equiv_pos_as_xyz
'x,y,z'
loop_
_atom_site_label
_atom_site_type_symbol
_atom_site_fract_x
_atom_site_fract_y
_atom_site_fract_z
La1 La 0.0000 0.0000 0.0000
Bi1 Bi 0.5000 0.5000 0.5000
S1 S 0.0000 0.5000 0.0000
S2 S 0.5000 0.0000 0.0000
Cl1 Cl 0.0000 0.0000 0.5000



Record 2
# LaBiSCl2 PBE optimized geometry
# Energy above the lowest structure with this stoichiometry = 0.575 eV per atom
data_LaBiSCl2
_chemical_formula_sum 'La1 Bi1 S1 Cl2'
_cell_length_a 5.4663
_cell_length_b 5.4663
_cell_length_c 5.4308
_cell_angle_alpha 90.00
_cell_angle_beta 90.00
_cell_angle_gamma 90.00
_symmetry_space_group_name_H-M 'P 1'
_symmetry_Int_Tables_number 1
loop_
_symmetry_equiv_pos_as_xyz
'x,y,z'
loop_
_atom_site_label
_atom_site_type_symbol
_atom_site_fract_x
_atom_site_fract_y
_atom_site_fract_z
La1 La 0.0000 0.0000 0.0000
Bi1 Bi 0.5000 0.5000 0.5000
S1 S 0.5000 0.5000 0.0000
Cl1 Cl 0.0000 0.5000 0.5000
Cl2 Cl 0.5000 0.0000 0.5000



Record 3
# LaBiSCl2 PBE optimized geometry
# Energy above the lowest structure with this stoichiometry = 0.000 eV per atom
data_LaBiSCl2
_chemical_formula_sum 'La1 Bi1 S1 Cl2'
_cell_length_a 5.4970
_cell_length_b 5.4970
_cell_length_c 5.7137
_cell_angle_alpha 90.00
_cell_angle_beta 90.00
_cell_angle_gamma 90.00
_symmetry_space_group_name_H-M 'P 1'
_symmetry_Int_Tables_number 1
loop_
_symmetry_equiv_pos_as_xyz
'x,y,z'
loop_
_atom_site_label
_atom_site_type_symbol
_atom_site_fract_x
_atom_site_fract_y
_atom_site_fract_z
La1 La 0.0000 0.0000 0.0000
Bi1 Bi 0.5000 0.5000 0.5000
S1 S 0.0000 0.0000 0.5000
Cl1 Cl 0.0000 0.5000 0.0000
Cl2 Cl 0.5000 0.0000 0.0000



Record 4
# LaBi2SbCl

Crystalline LaBi2SbCl at its relaxed geometry (PBE, Alexandria).

```
data_LaBi2SbCl
_chemical_formula_sum 'La1 Bi2 Sb1 Cl1'
_cell_length_a 5.8798
_cell_length_b 5.8798
_cell_length_c 5.1911
_cell_angle_alpha 90.00
_cell_angle_beta 90.00
_cell_angle_gamma 90.00
_symmetry_space_group_name_H-M 'P 1'
_symmetry_Int_Tables_number 1
loop_
_symmetry_equiv_pos_as_xyz
'x,y,z'
loop_
_atom_site_label
_atom_site_type_symbol
_atom_site_fract_x
_atom_site_fract_y
_atom_site_fract_z
La1 La 0.0000 0.0000 0.0000
Bi1 Bi 0.0000 0.5000 0.5000
Bi2 Bi 0.5000 0.0000 0.5000
Sb1 Sb 0.5000 0.5000 0.5000
Cl1 Cl 0.5000 0.5000 0.0000
```



These records have raw formation energy values of -0.74 -0.51 -1.08 -0.17 eV per atom, in the order they appear.